i.
{
  "formula": "Mn2IrOs2",
  "functional": "PBE-GGA",
  "state": "optimized geometry",
  "lattice_angstrom": [[6.987, 0.000, 0.000], [0.000, 6.987, 0.000], [0.000, 0.000, 2.711]],
  "species": ["Ir", "Ir", "Os", "Os", "Os", "Os", "Mn", "Mn", "Mn", "Mn"],
  "fractional_positions": [[0.000, 0.000, 0.000], [0.500, 0.500, 0.000], [0.673, 0.827, 0.500], [0.327, 0.173, 0.500], [0.827, 0.327, 0.500], [0.173, 0.673, 0.500], [0.121, 0.379, 0.000], [0.379, 0.879, 0.000], [0.879, 0.621, 0.000], [0.621, 0.121, 0.000]],
  "magnetic_moment_mub_per_fu": 0.000
}

ii.
{
  "formula": "Mn2IrOs2",
  "functional": "PBE-GGA",
  "state": "optimized geometry",
  "lattice_angstrom": [[7.097, 0.000, 0.000], [0.000, 7.097, 0.000], [0.000, 0.000, 2.686]],
  "species": ["Mn", "Mn", "Mn", "Mn", "Os", "Os", "Os", "Os", "Ir", "Ir"],
  "fractional_positions": [[0.831, 0.331, 0.500], [0.331, 0.169, 0.500], [0.669, 0.831, 0.500], [0.169, 0.669, 0.500], [0.872, 0.628, 0.000], [0.128, 0.372, 0.000], [0.628, 0.128, 0.000], [0.372, 0.872, 0.000], [0.500, 0.500, 0.000], [0.000, 0.000, 0.000]],
  "magnetic_moment_mub_per_fu": 0.000
}

Computed relative energies in units of meV per atom: i 0; ii 82

i.
{
  "formula": "MnIr4Os",
  "functional": "PBE-GGA",
  "state": "optimized geometry",
  "lattice_angstrom": [[0.000, 3.618, 3.618], [3.618, 0.000, 3.618], [3.618, 3.618, 0.000]],
  "species": ["Ir", "Ir", "Ir", "Ir", "Mn", "Os"],
  "fractional_positions": [[0.876, 0.375, 0.375], [0.375, 0.876, 0.375], [0.375, 0.375, 0.375], [0.375, 0.375, 0.876], [0.750, 0.750, 0.750], [0.000, 0.000, 0.000]],
  "magnetic_moment_mub_per_fu": 2.059
}

ii.
{
  "formula": "MnIr4Os",
  "functional": "PBE-GGA",
  "state": "optimized geometry",
  "lattice_angstrom": [[5.300, -0.954, 0.000], [-1.896, 5.040, 0.000], [0.000, 0.000, 8.081]],
  "species": ["Ir", "Ir", "Ir", "Ir", "Ir", "Ir", "Ir", "Ir", "Os", "Os", "Mn", "Mn"],
  "fractional_positions": [[0.253, 0.253, 0.500], [0.589, 0.920, 0.750], [0.411, 0.080, 0.250], [0.253, 0.253, 0.000], [0.747, 0.747, 0.000], [0.080, 0.411, 0.750], [0.920, 0.589, 0.250], [0.747, 0.747, 0.500], [0.108, 0.892, 0.750], [0.892, 0.108, 0.250], [0.608, 0.392, 0.750], [0.392, 0.608, 0.250]],
  "magnetic_moment_mub_per_fu": 1.506
}

Computed relative energies in units of meV per atom: i 118; ii 0

i.
{
  "formula": "MnP2Ir",
  "functional": "PBE-GGA",
  "state": "optimized geometry",
  "lattice_angstrom": [[-6.510, 3.376, 0.653], [-6.484, 1.630, 3.085], [-5.102, 4.285, 3.134]],
  "species": ["P", "P", "Ir", "Mn"],
  "fractional_positions": [[0.751, 0.751, 0.751], [0.996, 0.996, 0.996], [0.492, 0.492, 0.492], [0.261, 0.261, 0.261]],
  "magnetic_moment_mub_per_fu": 2.326
}

ii.
{
  "formula": "MnP2Ir",
  "functional": "PBE-GGA",
  "state": "optimized geometry",
  "lattice_angstrom": [[6.663, 0.018, 0.040], [-2.708, 3.257, -0.009], [1.248, 1.046, 2.407]],
  "species": ["Mn", "P", "P", "Ir"],
  "fractional_positions": [[0.500, 0.500, 0.000], [0.000, 0.000, 0.000], [0.500, 0.000, 0.500], [0.000, 0.500, 0.500]],
  "magnetic_moment_mub_per_fu": 2.612
}

iii.
{
  "formula": "MnP2Ir",
  "functional": "PBE-GGA",
  "state": "optimized geometry",
  "lattice_angstrom": [[-3.338, 2.207, 4.290], [0.429, 0.389, 5.838], [2.232, 0.769, -5.370]],
  "species": ["Ir", "P", "P", "Mn"],
  "fractional_positions": [[0.453, 0.453, 0.000], [0.786, 0.286, 0.500], [0.049, 0.049, 0.000], [0.212, 0.712, 0.500]],
  "magnetic_moment_mub_per_fu": 1.527
}

Computed relative energies in units of meV per atom: i 161; ii 149; iii 0

i.
{
  "formula": "Mn3PIr",
  "functional": "PBE-GGA",
  "state": "optimized geometry",
  "lattice_angstrom": [[-3.730, 0.603, 1.489], [0.811, -2.542, 3.062], [1.386, 3.110, 2.215]],
  "species": ["Mn", "Mn", "Mn", "P", "Ir"],
  "fractional_positions": [[0.000, 0.000, 0.500], [0.000, 0.500, 0.000], [0.500, 0.000, 0.000], [0.000, 0.000, 0.000], [0.500, 0.500, 0.500]],
  "magnetic_moment_mub_per_fu": 0.000
}

ii.
{
  "formula": "Mn3PIr",
  "functional": "PBE-GGA",
  "state": "optimized geometry",
  "lattice_angstrom": [[4.777, 0.000, 0.000], [0.000, 4.777, 0.000], [0.000, 0.000, 4.777]],
  "species": ["P", "Ir", "Mn", "Mn", "Mn"],
  "fractional_positions": [[0.500, 0.500, 0.500], [0.000, 0.000, 0.000], [0.500, 0.000, 0.000], [0.000, 0.000, 0.500], [0.000, 0.500, 0.000]],
  "magnetic_moment_mub_per_fu": 12.919
}

Computed relative energies in units of meV per atom: i 0; ii 486

i.
{
  "formula": "MnP3Ir",
  "functional": "PBE-GGA",
  "state": "optimized geometry",
  "lattice_angstrom": [[4.583, 0.000, 0.000], [0.000, 4.583, 0.000], [0.000, 0.000, 4.583]],
  "species": ["Mn", "P", "P", "P", "Ir"],
  "fractional_positions": [[0.500, 0.500, 0.500], [0.500, 0.000, 0.000], [0.000, 0.000, 0.500], [0.000, 0.500, 0.000], [0.000, 0.000, 0.000]],
  "magnetic_moment_mub_per_fu": 0.272
}

ii.
{
  "formula": "MnP3Ir",
  "functional": "PBE-GGA",
  "state": "optimized geometry",
  "lattice_angstrom": [[4.276, 0.000, 0.000], [0.000, 4.276, 0.000], [0.000, 0.000, 4.276]],
  "species": ["P", "P", "P", "Mn", "Ir"],
  "fractional_positions": [[0.000, 0.000, 0.500], [0.000, 0.500, 0.000], [0.500, 0.000, 0.000], [0.000, 0.000, 0.000], [0.500, 0.500, 0.500]],
  "magnetic_moment_mub_per_fu": 0.000
}

Computed relative energies in units of meV per atom: i 601; ii 0

i.
{
  "formula": "MnPIrRh2",
  "functional": "PBE-GGA",
  "state": "optimized geometry",
  "lattice_angstrom": [[4.421, 0.000, 0.000], [0.000, 4.459, 0.000], [0.000, 0.000, 4.421]],
  "species": ["Rh", "Rh", "Ir", "Mn", "P"],
  "fractional_positions": [[0.500, 0.000, 0.000], [0.000, 0.000, 0.500], [0.000, 0.500, 0.000], [0.000, 0.000, 0.000], [0.500, 0.500, 0.500]],
  "magnetic_moment_mub_per_fu": 0.000
}

ii.
{
  "formula": "MnPIrRh2",
  "functional": "PBE-GGA",
  "state": "optimized geometry",
  "lattice_angstrom": [[-2.676, 0.808, 3.344], [-3.388, -1.354, -2.384], [0.600, -4.086, 1.467]],
  "species": ["Rh", "Rh", "Ir", "Mn", "P"],
  "fractional_positions": [[0.000, 0.500, 0.000], [0.500, 0.000, 0.000], [0.000, 0.000, 0.500], [0.500, 0.500, 0.500], [0.000, 0.000, 0.000]],
  "magnetic_moment_mub_per_fu": 4.984
}

Computed relative energies in units of meV per atom: i 1182; ii 0

i.
{
  "formula": "PaMnIr",
  "functional": "PBE-GGA",
  "state": "optimized geometry",
  "lattice_angstrom": [[4.064, 0.000, 0.000], [0.000, 4.071, 0.000], [-2.032, 0.000, 6.268]],
  "species": ["Mn", "Mn", "Ir", "Ir", "Pa", "Pa"],
  "fractional_positions": [[0.250, 0.250, 0.501], [0.750, 0.750, 0.499], [0.404, 0.750, 0.809], [0.596, 0.250, 0.191], [0.101, 0.750, 0.202], [0.899, 0.250, 0.798]],
  "magnetic_moment_mub_per_fu": 1.853
}

ii.
{
  "formula": "PaMnIr",
  "functional": "PBE-GGA",
  "state": "optimized geometry",
  "lattice_angstrom": [[-0.123, -2.919, 2.373], [2.742, -2.070, -2.404], [1.373, 2.464, 3.103]],
  "species": ["Pa", "Ir", "Mn"],
  "fractional_positions": [[0.667, 0.333, 0.667], [0.167, 0.667, 0.333], [0.167, 0.000, 0.000]],
  "magnetic_moment_mub_per_fu": 1.253
}

iii.
{
  "formula": "PaMnIr",
  "functional": "PBE-GGA",
  "state": "optimized geometry",
  "lattice_angstrom": [[4.455, 0.000, 2.501], [1.579, 4.408, 2.406], [-0.026, 0.020, 5.264]],
  "species": ["Mn", "Mn", "Pa", "Pa", "Ir", "Ir"],
  "fractional_positions": [[0.500, 0.000, 0.000], [0.000, 0.000, 0.000], [0.126, 0.624, 0.624], [0.874, 0.376, 0.376], [0.500, 0.000, 0.500], [0.500, 0.500, 0.000]],
  "magnetic_moment_mub_per_fu": 2.038
}

Computed relative energies in units of meV per atom: i 228; ii 261; iii 0

i.
{
  "formula": "Mn2Ir2Pd",
  "functional": "PBE-GGA",
  "state": "optimized geometry",
  "lattice_angstrom": [[7.153, 0.000, 0.000], [0.000, 7.153, 0.000], [0.000, 0.000, 2.672]],
  "species": ["Pd", "Pd", "Ir", "Ir", "Ir", "Ir", "Mn", "Mn", "Mn", "Mn"],
  "fractional_positions": [[0.500, 0.500, 0.000], [0.000, 0.000, 0.000], [0.830, 0.330, 0.500], [0.170, 0.670, 0.500], [0.670, 0.830, 0.500], [0.330, 0.170, 0.500], [0.881, 0.619, 0.000], [0.381, 0.881, 0.000], [0.119, 0.381, 0.000], [0.619, 0.119, 0.000]],
  "magnetic_moment_mub_per_fu": 0.000
}

ii.
{
  "formula": "Mn2Ir2Pd",
  "functional": "PBE-GGA",
  "state": "optimized geometry",
  "lattice_angstrom": [[-4.372, 5.421, -2.003], [-4.258, -1.325, 5.712], [1.497, 1.771, 1.527]],
  "species": ["Mn", "Mn", "Mn", "Mn", "Ir", "Ir", "Ir", "Ir", "Pd", "Pd"],
  "fractional_positions": [[0.336, 0.164, 0.500], [0.836, 0.336, 0.500], [0.164, 0.664, 0.500], [0.664, 0.836, 0.500], [0.132, 0.368, 0.000], [0.632, 0.132, 0.000], [0.868, 0.632, 0.000], [0.368, 0.868, 0.000], [0.000, 0.000, 0.000], [0.500, 0.500, 0.000]],
  "magnetic_moment_mub_per_fu": 5.118
}

Computed relative energies in units of meV per atom: i 29; ii 0

i.
{
  "formula": "MnIrPd",
  "functional": "PBE-GGA",
  "state": "optimized geometry",
  "lattice_angstrom": [[3.704, 0.000, 0.000], [0.000, 3.919, 0.000], [-1.852, 0.000, 5.926]],
  "species": ["Mn", "Mn", "Pd", "Pd", "Ir", "Ir"],
  "fractional_positions": [[0.083, 0.750, 0.166], [0.917, 0.250, 0.834], [0.253, 0.250, 0.506], [0.747, 0.750, 0.494], [0.578, 0.250, 0.157], [0.422, 0.750, 0.843]],
  "magnetic_moment_mub_per_fu": 3.190
}

ii.
{
  "formula": "MnIrPd",
  "functional": "PBE-GGA",
  "state": "optimized geometry",
  "lattice_angstrom": [[-2.277, -1.414, -0.762], [1.586, -1.768, -1.457], [0.857, -1.654, 5.603]],
  "species": ["Mn", "Ir", "Pd"],
  "fractional_positions": [[0.672, 0.672, 0.344], [0.322, 0.322, 0.645], [0.005, 0.005, 0.011]],
  "magnetic_moment_mub_per_fu": 3.213
}

Computed relative energies in units of meV per atom: i 0; ii 19

i.
{
  "formula": "MnIr3Pd",
  "functional": "PBE-GGA",
  "state": "optimized geometry",
  "lattice_angstrom": [[4.432, 0.000, 0.000], [0.000, 4.432, 0.000], [0.000, 0.000, 4.432]],
  "species": ["Mn", "Ir", "Ir", "Ir", "Pd"],
  "fractional_positions": [[0.000, 0.000, 0.000], [0.500, 0.000, 0.000], [0.000, 0.500, 0.000], [0.000, 0.000, 0.500], [0.500, 0.500, 0.500]],
  "magnetic_moment_mub_per_fu": 0.000
}

ii.
{
  "formula": "MnIr3Pd",
  "functional": "PBE-GGA",
  "state": "optimized geometry",
  "lattice_angstrom": [[4.693, 0.000, 0.000], [0.000, 4.693, 0.000], [0.000, 0.000, 4.693]],
  "species": ["Ir", "Ir", "Ir", "Mn", "Pd"],
  "fractional_positions": [[0.000, 0.500, 0.000], [0.000, 0.000, 0.500], [0.500, 0.000, 0.000], [0.500, 0.500, 0.500], [0.000, 0.000, 0.000]],
  "magnetic_moment_mub_per_fu": 0.064
}

Computed relative energies in units of meV per atom: i 0; ii 1282

i.
{
  "formula": "MnIrPt4",
  "functional": "PBE-GGA",
  "state": "optimized geometry",
  "lattice_angstrom": [[0.000, 3.682, 3.682], [3.682, 0.000, 3.682], [3.682, 3.682, 0.000]],
  "species": ["Pt", "Pt", "Pt", "Pt", "Mn", "Ir"],
  "fractional_positions": [[0.375, 0.874, 0.375], [0.375, 0.375, 0.375], [0.375, 0.375, 0.874], [0.874, 0.375, 0.375], [0.000, 0.000, 0.000], [0.750, 0.750, 0.750]],
  "magnetic_moment_mub_per_fu": 3.500
}

ii.
{
  "formula": "MnIrPt4",
  "functional": "PBE-GGA",
  "state": "optimized geometry",
  "lattice_angstrom": [[-5.538, -3.264, 1.152], [1.474, -3.784, -3.634], [-0.363, -2.388, 6.425]],
  "species": ["Mn", "Mn", "Pt", "Pt", "Pt", "Pt", "Pt", "Pt", "Pt", "Pt", "Ir", "Ir"],
  "fractional_positions": [[0.164, 0.281, 0.562], [0.836, 0.719, 0.438], [0.547, 0.885, 0.268], [0.158, 0.791, 0.582], [0.842, 0.209, 0.418], [0.000, 0.756, 0.000], [0.453, 0.115, 0.732], [0.453, 0.617, 0.732], [0.547, 0.383, 0.268], [0.000, 0.244, 0.000], [0.725, 0.434, 0.867], [0.275, 0.566, 0.133]],
  "magnetic_moment_mub_per_fu": 4.295
}

Computed relative energies in units of meV per atom: i 189; ii 0

i.
{
  "formula": "MnIr2Pt2",
  "functional": "PBE-GGA",
  "state": "optimized geometry",
  "lattice_angstrom": [[6.576, 0.000, 0.000], [0.000, 6.576, 0.000], [0.000, 0.000, 3.719]],
  "species": ["Mn", "Mn", "Pt", "Pt", "Pt", "Pt", "Ir", "Ir", "Ir", "Ir"],
  "fractional_positions": [[0.000, 0.000, 0.000], [0.500, 0.500, 0.000], [0.162, 0.662, 0.500], [0.838, 0.338, 0.500], [0.338, 0.162, 0.500], [0.662, 0.838, 0.500], [0.637, 0.137, 0.000], [0.137, 0.363, 0.000], [0.363, 0.863, 0.000], [0.863, 0.637, 0.000]],
  "magnetic_moment_mub_per_fu": 3.517
}

ii.
{
  "formula": "MnIr2Pt2",
  "functional": "PBE-GGA",
  "state": "optimized geometry",
  "lattice_angstrom": [[-1.819, 1.598, 2.810], [-1.760, -3.194, 0.677], [2.754, -2.476, 5.639]],
  "species": ["Pt", "Pt", "Mn", "Ir", "Ir"],
  "fractional_positions": [[0.250, 0.750, 0.500], [0.750, 0.250, 0.500], [0.000, 0.000, 0.000], [0.595, 0.595, 0.810], [0.405, 0.405, 0.190]],
  "magnetic_moment_mub_per_fu": 3.350
}

Computed relative energies in units of meV per atom: i 0; ii 148